The following is a PBE calculation of a relaxed FeRuPt crystal, from Alexandria via LeMat-Bulk.

* calculated formation energy: 0.118 eV per atom
* ρ: 13.8 g cm⁻³
* volume: 42.4 Å³ per cell
* total magnetic moment: 1.84 μB/f.u.
* DFT total energy: -23.4 eV for the cell shown
* ΔE to the lowest computed polymorph: 13.29 kJ/mol of atoms

Cell lengths 4.2885, 4.2885, 2.6590 Å; angles 90.00, 90.00, 120.00 degrees
Last column: nearest neighbours and their distance in Å.
Fractional coordinates of all 3 atoms:
Fe 0.0000 0.0000 0.0000  3 Pt 2.48, 2 Fe 2.66
Ru 0.3333 0.6667 0.5000  2 Ru 2.66, 6 Fe 2.81, 6 Pt 2.81
Pt 0.6667 0.3333 0.0000  3 Fe 2.48, 2 Pt 2.66